No. 1
The following is a DFT calculation (GGA-PBE) of an optimized crystal structure of SrCdNiSn2.

Results
Space group ... No. 129
Theoretical density ... 6.83 Mg/m³
Uncorrected energy ... -3.669 eV/atom

The structure in POSCAR format:
```
SrCdNiSn2
1.0
4.623 0.000 0.000
0.000 4.623 0.000
0.000 0.000 11.284
Sr Sn Cd Ni
2 4 2 2
direct
0.000 0.500 0.265
0.500 0.000 0.735
0.500 0.000 0.167
0.500 0.500 0.500
0.000 0.000 0.500
0.000 0.500 0.833
0.500 0.500 0.000
0.000 0.000 0.000
0.500 0.000 0.390
0.000 0.500 0.610
```

=====

No. 2
The following is a DFT calculation (GGA-PBE) of an optimized crystal structure of TaCdNiSn.

Results
Space group ... No. 216
Theoretical density ... 10.91 Mg/m³
Uncorrected energy ... -5.180 eV/atom

The structure in POSCAR format:
```
TaCdNiSn
1.0
2.185 -4.099 0.399
3.147 -0.645 3.379
-0.972 -2.821 3.583
Sn Cd Ni Ta
1 1 1 1
direct
0.000 0.000 0.000
0.500 0.500 0.500
0.750 0.750 0.750
0.250 0.250 0.250
```

=====

What is the theoretical density in the first record?
6.83 Mg/m³

=====

What is the uncorrected energy in the second record?
-5.180 eV/atom